(1)
RbVRhO4 GGA+U optimized geometry; DOS(E_F) = 0.258 states/eV/atom; ρ = 4.4 g cm⁻³; final energy = -6.334 eV/atom; total magnetic moment = 0.135 μB/atom
1.0
5.5969 0.0000 0.0839
0.0000 5.7195 0.0000
-2.0894 0.0000 7.1675
Rb Rh V O
2 2 2 8
Cartesian
1.4123 1.4299 0.3202 Rb
2.0952 4.2896 6.9312 Rb
3.2463 4.2896 3.4470 Rh
0.2612 1.4299 3.8044 Rh
2.8554 1.4299 4.5717 V
0.6521 4.2896 2.6797 V
3.8973 2.8033 4.9398 O
1.4490 1.4299 5.6521 O
2.0585 4.2896 1.5993 O
-0.3898 5.6631 2.3116 O
1.4273 4.2896 4.2940 O
-0.3898 2.9161 2.3116 O
2.0802 1.4299 2.9574 O
3.8973 0.0564 4.9398 O

=====

(2)
RbRhWO6 GGA+U optimized geometry; DOS(E_F) = 0.416 states/eV/atom; ρ = 5.0 g cm⁻³; final energy = -6.420 eV/atom; total magnetic moment = 0.226 μB/atom
1.0
5.3064 0.0000 0.0000
2.6532 4.5954 0.0001
0.0001 -0.0002 6.3644
O W Rb Rh
6 1 1 1
Cartesian
3.6968 2.8303 2.0910 O
6.9159 2.8303 4.2732 O
5.9092 4.5741 2.0911 O
6.3131 1.7862 2.0910 O
4.2996 1.7862 4.2732 O
4.7036 4.5740 4.2733 O
5.3063 3.0635 3.1820 W
5.3062 0.0000 0.0000 Rb
2.6531 1.5317 3.1822 Rh